Compound: Hf2PdPt
Source: the Alexandria database
Functional: PBE
Structure: optimized geometry

Properties
The value obtained for the total energy is -8.617 eV per atom.

The structure in CIF format:
```
data_Hf2PdPt
_chemical_formula_sum 'Hf2 Pd1 Pt1'
_space_group_name_H-M_alt 'P 4/m m m'
_space_group_IT_number 123
_space_group_name_Hall '-P 4 2'
_cell_length_a 4.652
_cell_length_b 4.652
_cell_length_c 3.390
_cell_angle_alpha 90.00
_cell_angle_beta 90.00
_cell_angle_gamma 90.00
loop_
_atom_site_label
_atom_site_type_symbol
_atom_site_fract_x
_atom_site_fract_y
_atom_site_fract_z
Hf1 Hf 0.000 0.500 0.000
Pd1 Pd 0.000 0.000 0.500
Pt1 Pt 0.500 0.500 0.500
```